# KVInF6

Crystalline KVInF6 at its relaxed geometry (PBE with a Hubbard U, Alexandria via LeMat-Bulk).

a = 4.9044 Å, b = 5.8403 Å, c = 5.8555 Å
α = 61.94°, β = 88.36°, γ = 88.56°
With the nearest neighbours (Å) after each atom.
Fractional positions:
K: 0.0000 0.0000 0.0000  11 F 2.86-3.15
V: 0.6781 0.6596 0.6604  6 F 1.84-1.92
In: 0.4119 0.3310 0.3326  5 F 2.69-2.96
F: 0.3942 0.7837 0.7847  1 V 1.84
F: 0.5081 0.3279 0.7847  1 V 1.92
F: 0.5097 0.7843 0.3296  1 V 1.92
F: 0.8469 0.5305 0.9880  1 V 1.91
F: 0.8481 0.9883 0.5318  1 V 1.91
F: 0.9596 0.5338 0.5343  1 V 1.84

Values from the calculation:
uncorrected energy	-5.08	eV per atom
size of the total moment	0.99	μB/f.u.
symmetry	P1, No. 1